1.
Nd6InGe2Br3 | Alexandria via LeMat-Bulk | PBE | optimized geometry; energy = -4.8129 eV per atom; raw formation energy = -1.01 eV/atom; volume = 360 Å³ per cell
1.0
-1.3900 -4.0214 0.6620
5.2577 -2.9023 -6.5904
6.3575 1.3275 7.4079
Nd In Ge Br
6 1 2 3
direct
0.3344 0.8863 0.6688
0.6757 0.5681 0.3514
0.6656 0.1137 0.3312
0.0102 0.2550 0.0203
0.9898 0.7450 0.9797
0.3243 0.4319 0.6486
0.5000 0.0000 0.0000
0.8325 0.6616 0.6649
0.1675 0.3384 0.3351
0.5000 0.5000 0.0000
0.8330 0.1657 0.6660
0.1670 0.8343 0.3340

---

2.
In2GePbBr6 | Alexandria via LeMat-Bulk | PBE | optimized geometry; energy = -3.0754 eV per atom; raw formation energy = -0.69 eV/atom; volume = 375 Å³ per cell
1.0
7.8887 0.0004 0.0002
3.9447 6.8317 0.0002
3.9442 2.2778 6.9522
In Ge Pb Br
2 1 1 6
direct
0.5217 0.5217 0.4349
0.0282 0.0283 0.9153
0.3144 0.3144 0.0567
0.8176 0.8177 0.5470
0.5701 0.1742 0.2532
0.1742 0.0025 0.2532
0.0025 0.5701 0.2532
0.4759 0.6639 0.7672
0.6639 0.0930 0.7672
0.0930 0.4759 0.7672

---

3.
In2GePtBr | Alexandria via LeMat-Bulk | PBE | optimized geometry; energy = -3.8875 eV per atom; raw formation energy = -0.33 eV/atom; volume = 138 Å³ per cell
1.0
5.3634 0.0000 0.0000
0.0000 5.3634 0.0000
0.0000 0.0000 4.7932
Ge Br Pt In
1 1 1 2
direct
0.0000 0.0000 0.5000
0.5000 0.5000 0.5000
0.0000 0.0000 0.0000
0.0000 0.5000 0.0000
0.5000 0.0000 0.0000

---

4.
RbInGe2Br8 | Alexandria via LeMat-Bulk | PBE | optimized geometry; energy = -2.9998 eV per atom; raw formation energy = -0.81 eV/atom; volume = 472 Å³ per cell
1.0
-5.6975 2.7083 2.5796
-5.1927 -3.2036 -4.5440
-3.1529 -7.5183 5.0849
Rb In Ge Br
1 1 2 8
direct
0.0000 0.0000 0.5000
0.0000 0.0000 0.0000
0.4665 0.4112 0.7379
0.5335 0.5888 0.2621
0.1580 0.7308 0.2377
0.6978 0.7817 0.0267
0.7946 0.1863 0.1814
0.8420 0.2692 0.7623
0.3022 0.2183 0.9733
0.2054 0.8137 0.8186
0.5717 0.7548 0.4482
0.4283 0.2452 0.5518

---

5.
Rb3In3GeBr8 | Alexandria via LeMat-Bulk | PBE | optimized geometry; energy = -3.0075 eV per atom; raw formation energy = -1.07 eV/atom; volume = 623 Å³ per cell
1.0
-7.5311 5.7708 -0.4352
3.3777 -4.0062 -7.9209
-4.5847 -5.4914 6.5159
Rb In Ge Br
3 3 1 8
direct
0.0000 0.0000 0.0000
0.0000 0.5000 0.0000
0.5000 0.5000 0.0000
0.5000 0.0000 0.5000
0.5000 0.5000 0.5000
0.0000 0.5000 0.5000
0.0000 0.0000 0.5000
0.2534 0.5069 0.2604
0.7466 0.4931 0.7396
0.7871 0.5741 0.2921
0.2129 0.4259 0.7079
0.7871 0.0051 0.2921
0.2129 0.9949 0.7079
0.2180 0.0051 0.2921
0.7820 0.9949 0.7079

---

6.
Rb2InGeBr6 | Alexandria via LeMat-Bulk | PBE | optimized geometry; energy = -3.0228 eV per atom; raw formation energy = -1.09 eV/atom; volume = 359 Å³ per cell
1.0
7.9872 0.0000 0.0000
0.0000 7.9872 0.0000
3.9936 3.9936 5.6262
Ge Br Rb In
1 6 2 1
direct
0.5000 0.5000 0.0000
0.2539 0.2539 0.4922
0.7461 0.7461 0.5078
0.2542 0.2542 0.0000
0.7458 0.7458 0.0000
0.7458 0.2542 0.0000
0.2542 0.7458 0.0000
0.7500 0.2500 0.5000
0.2500 0.7500 0.5000
0.0000 0.0000 0.0000

---

Q: Look up the raw formation energy of the third one.
A: -0.33 eV/atom